# LaReCl2

An optimized crystal structure of LaReCl2 (PBE, Alexandria).

Cell: 9.342 9.342 9.342 Å, 19.98 19.98 19.98°
Fractional positions:
Cl1 0.914 0.914 0.914
Cl2 0.086 0.086 0.086
La1 0.500 0.500 0.500
Re1 0.000 0.000 0.000

## Properties
E above lowest polymorph   335 meV per atom
Magnetic moment   0.71 μB/f.u.
Density of states at the Fermi level   1.07 states/eV/atom



# Th3Ni3Ge2

An optimized crystal structure of Th3Ni3Ge2 (PBE, Alexandria).

Cell: 4.186 5.776 14.302 Å, 90.00 90.00 111.25°
Fractional positions:
Ge1 0.797 0.595 0.601
Ge2 0.797 0.595 0.899
Ge3 0.203 0.405 0.101
Ge4 0.203 0.405 0.399
Ni1 0.613 0.225 0.461
Ni2 0.339 0.677 0.250
Ni3 0.387 0.775 0.961
Ni4 0.387 0.775 0.539
Ni5 0.613 0.225 0.039
Ni6 0.661 0.323 0.750
Th1 0.912 0.825 0.105
Th2 0.620 0.240 0.250
Th3 0.088 0.175 0.895
Th4 0.912 0.825 0.395
Th5 0.380 0.760 0.750
Th6 0.088 0.175 0.605

## Properties
Magnetic moment   0.00 μB/f.u.
Formation energy   -619 meV/atom
Density of states at the Fermi level   0.73 states/eV/atom



- magnetic moment of number 1 (LaReCl2)?
  0.71 μB/f.u.



- What is the magnetic moment in the first record?
  0.71 μB/f.u.



- Which of these has the highest magnetic moment?
  LaReCl2



- Which value of density of states at the Fermi level does entry 1 give?
  1.07 states/eV/atom